PBE with a Hubbard U MnBe2IO, optimized geometry; magnetic moment = 4.23 μB/f.u.; DFT total energy = -4.196 eV per atom
1.0
3.6587 0.0000 0.0000
0.0000 6.6248 0.0000
0.0000 0.0000 3.6587
O Be Mn I
1 2 1 1
Direct
0.0000 0.0000 0.0000
0.5000 0.0000 0.0000
0.0000 0.0000 0.5000
0.5000 0.5000 0.5000
0.0000 0.5000 0.0000